1.
Below is a relaxed Tb2Pm6PrSm3 crystal, with properties calculated at the PBE level.

The structure in POSCAR format:
```
Tb2Pm6PrSm3
1.0
6.2980 0.0000 0.0095
-3.1474 5.4551 0.0095
-1.0701 -1.8529 11.8657
Sm Pm Tb Pr
3 6 2 1
Cartesian
1.0402 1.8011 5.9423
4.1861 -0.0157 5.9423
-2.1057 3.6180 5.9423
2.1012 -0.0071 2.9679
3.1367 1.7858 8.9168
2.0936 3.6251 2.9770
-0.0132 -0.0228 8.9076
-0.0208 3.6093 8.9168
-1.0563 1.8165 2.9679
0.0017 3.6363 0.0095
3.1488 1.8188 0.0095
0.0000 0.0000 0.0000
```

Summary:
For the formation energy from the elements, the calculation gives 15 kJ/mol of formula units. The value obtained for the energy is -56.5 eV/cell. The total magnetic moment comes out at 0.0 μB/f.u. As for the space group: C2/m.

=====

2.
Below is a relaxed TlCuCl crystal, with properties calculated at the PBE level.

The structure in POSCAR format:
```
TlCuCl
1.0
6.8786 0.0005 -0.0004
5.5548 3.3344 0.0037
1.3238 -1.0803 3.1540
Tl Cu Cl
1 1 1
Cartesian
4.7496 0.2812 2.1825
8.4889 1.7673 1.1220
1.8426 -0.8742 3.0069
```

Summary:
The value obtained for the formation energy (no corrections) is -0.159 eV/atom. The value obtained for the polymorph energy (0 for the lowest one) is 62 meV/atom. The value obtained for the energy is -8.8 eV/cell. The total magnetic moment comes out at 0.0 μB/f.u. As for the space group: Fmm2.

=====

3.
Below is a relaxed K2MnSi crystal, with properties calculated at the PBE level.

The structure in POSCAR format:
```
K2MnSi
1.0
-11.5596 -2.4431 5.8181
-4.9574 -3.9969 -11.5279
-7.5734 -5.3797 -2.4007
K Si Mn
4 2 2
Cartesian
-10.6575 -5.4690 -1.1129
-16.3915 -6.6537 1.9026
-15.1598 -5.9920 -2.6874
-12.5744 -3.9710 3.0228
-10.3947 -6.2983 -8.3917
-8.2585 -3.2200 -2.8549
-13.6958 -5.5214 0.2813
0.0000 0.0000 0.0000
```

Summary:
The value obtained for the formation energy (no corrections) is 0.472 eV/atom. The value obtained for the polymorph energy (0 for the lowest one) is 210 meV/atom. The value obtained for the energy is -29.8 eV/cell. The total magnetic moment comes out at 3.6 μB/f.u. As for the space group: I-42d.